The following is a PBE calculation of crystalline Cs2SiAsI6 at its relaxed geometry, from the Alexandria database.

Cell: 8.3292 8.3292 11.7623 Å, 90.00 90.00 90.00°
Space group I4/mmm (No. 139)
Unique sites:
Cs 0.0000 0.5000 0.2500 x4
Si 0.0000 0.0000 0.0000 x2
As 0.0000 0.0000 0.5000 x2
I 0.0000 0.0000 0.2481 x4
I 0.2468 0.2468 0.0000 x8

Properties
D(E_F)   0.452 states/eV per atom
Energy relative to the elements, uncorrected   -647 meV/atom
Mass density   4.60 Mg/m³

---

The following is a PBE calculation of crystalline Y3Ga at its relaxed geometry, from the Alexandria database.

Cell: 4.6375 4.6375 9.9904 Å, 90.00 90.00 90.00°
Space group I4/mmm (No. 139)
Unique sites:
Y 0.0000 0.0000 0.0000 x2
Y 0.0000 0.5000 0.2500 x4
Ga 0.0000 0.0000 0.5000 x2

Properties
D(E_F)   1.228 states/eV per atom
Mass density   5.20 Mg/m³
Formation energy   -203 meV/atom

---

The following is a PBE calculation of crystalline LiDyGe2Pt at its relaxed geometry, from the Alexandria database.

Cell: 4.0710 4.0710 10.8187 Å, 90.00 90.00 90.00°
Space group I-4m2 (No. 119)
Unique sites:
Li 0.0000 0.0000 0.0000 x2
Dy 0.0000 0.5000 0.7500 x2
Ge 0.0000 0.5000 0.1365 x4
Pt 0.0000 0.0000 0.5000 x2

Properties
D(E_F)   0.433 states/eV per atom
Mass density   9.44 Mg/m³
Formation energy   -813 meV/atom